(1)
Entry from Alexandria: a geometry-optimized BaSrLa2 structure (PBE-GGA).

Lattice parameters (Å, degrees): 3.8316 3.8316 13.3061 90.00 90.00 112.39
Closest atoms and distances in Å follow each position.
Sites, in units of the cell vectors:
Ba (0.0000, 0.0000, 0.0000)  6 Ba 3.83-4.26, 4 La 4.00
Sr (0.0000, 0.0000, 0.5000)  6 Sr 3.83-4.26, 4 La 3.90
La (0.5000, 0.5000, 0.2547)  6 La 3.83-4.26, 2 Sr 3.90, 2 Ba 4.00
La (0.5000, 0.5000, 0.7453)  6 La 3.83-4.26, 2 Sr 3.90, 2 Ba 4.00

Computed properties:
Magnetization ... 0.000 μB per cell
Fermi-level density of states ... 1.56 states/eV/atom
Excess energy over the best structure of this formula in the dataset ... 0.1243 eV/atom
Formation energy ... 0.202 eV/atom


(2)
Entry from Alexandria: a geometry-optimized NbV2W6 structure (PBE-GGA).

Lattice parameters (Å, degrees): 5.0191 5.0898 6.3856 66.55 78.67 89.89
Closest atoms and distances in Å follow each position.
Sites, in units of the cell vectors:
Nb (0.0000, 0.0000, 0.0000)  2 V 2.45
V (0.1585, 0.8169, 0.3678)  3 W 2.36-2.62, 1 Nb 2.45
V (0.8415, 0.1831, 0.6322)  3 W 2.36-2.62, 1 Nb 2.45
W (0.0582, 0.6093, 0.7809)  1 V 2.36, 1 W 2.51
W (0.3741, 0.2464, 0.5071)  2 V 2.60-2.62, 2 W 2.83-2.84
W (0.4997, 0.2571, 0.0002)  2 W 2.47-2.62
W (0.5003, 0.7429, 0.9998)  2 W 2.47-2.62
W (0.6259, 0.7536, 0.4929)  2 V 2.60-2.62, 2 W 2.83-2.84
W (0.9418, 0.3907, 0.2191)  1 V 2.36, 1 W 2.51

Computed properties:
Magnetization ... 0.000 μB per cell
Fermi-level density of states ... 0.90 states/eV/atom
Formation energy ... 0.312 eV/atom


(3)
Entry from Alexandria: a geometry-optimized NaNiH3 structure (PBE-GGA).

Lattice parameters (Å, degrees): 3.8557 3.8557 3.8557 94.43 94.43 94.43
Closest atoms and distances in Å follow each position.
Sites, in units of the cell vectors:
Na (0.0000, 0.0000, 0.0000)  3 H 2.06
Ni (0.4668, 0.4668, 0.4668)  3 H 1.49
H (0.2013, 0.2013, 0.5699)  1 Ni 1.49
H (0.2013, 0.5699, 0.2013)  1 Ni 1.49
H (0.5699, 0.2013, 0.2013)  1 Ni 1.49

Computed properties:
Magnetization ... 0.000 μB per cell
E ... -3.066 eV per atom
Fermi-level density of states ... 0.27 states/eV/atom


(4)
Entry from Alexandria: a geometry-optimized BaSc2Pb structure (PBE-GGA).

Lattice parameters (Å, degrees): 3.7176 5.4006 5.9571 90.00 90.00 90.00
Closest atoms and distances in Å follow each position.
Sites, in units of the cell vectors:
Ba (0.0000, 0.0000, 0.0000)  4 Sc 3.28, 4 Pb 3.51
Sc (0.0000, 0.5000, 0.5000)  4 Pb 3.28, 4 Sc 3.51
Sc (0.5000, 0.5000, 0.0000)  4 Ba 3.28, 4 Sc 3.51
Pb (0.5000, 0.0000, 0.5000)  4 Sc 3.28, 4 Ba 3.51

Computed properties:
Magnetization ... 0.844 μB per cell
Fermi-level density of states ... 1.25 states/eV/atom
Formation energy ... 0.096 eV/atom


(5)
Entry from Alexandria: a geometry-optimized YAl4Si structure (PBE-GGA).

Lattice parameters (Å, degrees): 5.4287 5.4287 5.4287 60.00 60.00 60.00
Closest atoms and distances in Å follow each position.
Sites, in units of the cell vectors:
Y (0.0000, 0.0000, 0.0000)  12 Al 3.18, 4 Si 3.32
Al (0.1269, 0.6244, 0.6244)  6 Al 2.70-2.73
Al (0.6244, 0.1269, 0.6244)  6 Al 2.70-2.73
Al (0.6244, 0.6244, 0.1269)  6 Al 2.70-2.73
Al (0.6244, 0.6244, 0.6244)  6 Al 2.70-2.73
Si (0.2500, 0.2500, 0.2500)  12 Al 3.18, 4 Y 3.32

Computed properties:
Magnetization ... 0.000 μB per cell
Fermi-level density of states ... 0.72 states/eV/atom
ΔE_f (raw) ... -81 meV per atom


(6)
Entry from Alexandria: a geometry-optimized Sr7Sn2H2 structure (PBE-GGA).

Lattice parameters (Å, degrees): 9.3625 9.3625 7.7685 91.27 91.27 130.48
Closest atoms and distances in Å follow each position.
Sites, in units of the cell vectors:
Sr (0.0000, 0.0000, 0.0000)  2 H 2.42
Sr (0.0483, 0.6314, 0.7385)  2 Sn 3.29-3.30
Sr (0.3686, 0.9517, 0.2615)  2 Sn 3.29-3.30
Sr (0.4548, 0.4548, 0.7556)  2 H 2.44-2.45
Sr (0.5452, 0.5452, 0.2444)  2 H 2.44-2.45
Sr (0.6314, 0.0483, 0.7385)  2 Sn 3.29-3.30
Sr (0.9517, 0.3686, 0.2615)  2 Sn 3.29-3.30
Sn (0.3472, 0.6528, 0.5000)  6 Sr 3.29-3.30
Sn (0.6528, 0.3472, 0.5000)  6 Sr 3.29-3.30
H (0.3095, 0.3095, 0.0251)  3 Sr 2.42-2.45
H (0.6905, 0.6905, 0.9749)  3 Sr 2.42-2.45

Computed properties:
Magnetization ... 0.000 μB per cell
E ... -2.617 eV per atom
Fermi-level density of states ... 0.43 states/eV/atom